Here is an optimized crystal structure of CsInOs from OQMD via LeMat-Bulk. Energies are from GGA-PBE.

For the total energy, the calculation gives -3.546 eV per atom. As for the total magnetization: 0.1 Bohr magnetons per cell. The relative energy among the computed polymorphs is 0.0 meV per atom.

It has space group F-43m (No. 216), with a = 6.946 Å, b = 6.946 Å, c = 6.946 Å, α = 90.00°, β = 90.00° and γ = 90.00°. The distinct sites, in fractional coordinates, are Cs at (0.000, 0.000, 0.000), In at (0.000, 0.000, 0.500) and Os at (0.250, 0.250, 0.250).

---

Here is an optimized crystal structure of CdPPbO from OQMD via LeMat-Bulk. Energies are from GGA-PBE.

For the total energy, the calculation gives -4.105 eV per atom. The relative energy among the computed polymorphs is 0.0 meV per atom.

It has space group Pmc2_1 (No. 26), with a = 4.455 Å, b = 6.361 Å, c = 6.182 Å, α = 90.00°, β = 90.00° and γ = 90.00°. The distinct sites, in fractional coordinates, are Cd at (0.000, 0.162, 0.000), P at (0.500, 0.298, 0.873), Pb at (0.500, 0.282, 0.437) and O at (0.000, 0.176, 0.370).

---

Here is an optimized crystal structure of ZnHgTeO from OQMD via LeMat-Bulk. Energies are from GGA-PBE.

For the total energy, the calculation gives -3.014 eV per atom. The relative energy among the computed polymorphs is 0.0 meV per atom.

It has space group Pca2_1 (No. 29), with a = 6.057 Å, b = 9.539 Å, c = 5.818 Å, α = 90.00°, β = 90.00° and γ = 90.00°. The distinct sites, in fractional coordinates, are Zn at (0.113, 0.051, 0.000), Hg at (0.008, 0.331, 0.615), Te at (0.014, 0.671, 0.616) and O at (0.103, 0.063, 0.663).

---

Here is an optimized crystal structure of NaZrScPd from OQMD via LeMat-Bulk. Energies are from GGA-PBE.

For the total energy, the calculation gives -5.328 eV per atom. As for the total magnetization: 0.1 Bohr magnetons per cell. The relative energy among the computed polymorphs is 0.0 meV per atom.

It has space group F-43m (No. 216), with a = 6.852 Å, b = 6.852 Å, c = 6.852 Å, α = 90.00°, β = 90.00° and γ = 90.00°. The distinct sites, in fractional coordinates, are Na at (0.000, 0.000, 0.000), Zr at (0.250, 0.250, 0.750), Sc at (0.250, 0.250, 0.250) and Pd at (0.000, 0.000, 0.500).

---

Here is an optimized crystal structure of Sr2YPtS6 from OQMD via LeMat-Bulk. Energies are from GGA-PBE.

For the total energy, the calculation gives -5.302 eV per atom. As for the total magnetization: 1.1 Bohr magnetons per cell. The relative energy among the computed polymorphs is 18.6 meV per atom.

It has space group C2/m (No. 12), with a = 11.910 Å, b = 6.786 Å, c = 7.182 Å, α = 90.00°, β = 125.24° and γ = 90.00°. The distinct sites, in fractional coordinates, are Sr at (0.243, 0.000, 0.233), Y at (0.000, 0.000, 0.500), Pt at (0.000, 0.500, 0.000), S at (0.059, 0.261, 0.825) and S at (0.233, 0.500, 0.336).

---

Here is an optimized crystal structure of NdSmAgTe3 from OQMD via LeMat-Bulk. Energies are from GGA-PBE.

For the total energy, the calculation gives -4.730 eV per atom. As for the total magnetization: 0.0 Bohr magnetons per cell. The relative energy among the computed polymorphs is 0.0 meV per atom.

It has space group P2_1/m (No. 11), with a = 8.356 Å, b = 4.341 Å, c = 10.416 Å, α = 90.00°, β = 105.78° and γ = 90.00°. The distinct sites, in fractional coordinates, are Nd at (0.197, 0.250, 0.184), Sm at (0.258, 0.750, 0.705), Ag at (0.399, 0.750, 0.434), Te at (0.094, 0.250, 0.861), Te at (0.162, 0.250, 0.473) and Te at (0.462, 0.750, 0.174).

---

Here is an optimized crystal structure of TcN from OQMD via LeMat-Bulk. Energies are from GGA-PBE.

For the total energy, the calculation gives -8.978 eV per atom. As for the total magnetization: 0.0 Bohr magnetons per cell. The relative energy among the computed polymorphs is 358.9 meV per atom.

It has space group P4_2/mmc (No. 131), with a = 2.707 Å, b = 2.707 Å, c = 6.117 Å, α = 90.00°, β = 90.00° and γ = 90.00°. The distinct sites, in fractional coordinates, are Tc at (0.000, 0.500, 0.000) and N at (0.000, 0.000, 0.250).

---

Here is an optimized crystal structure of NdMg2 from OQMD via LeMat-Bulk. Energies are from GGA-PBE.

For the total energy, the calculation gives -2.650 eV per atom. As for the total magnetization: 0.0 Bohr magnetons per cell.

It has space group Cmcm (No. 63), with a = 3.343 Å, b = 17.698 Å, c = 5.563 Å, α = 90.00°, β = 90.00° and γ = 90.00°. The distinct sites, in fractional coordinates, are Nd at (0.000, 0.107, 0.250), Mg at (0.000, 0.219, 0.750) and Mg at (0.000, 0.442, 0.250).

---

Here is an optimized crystal structure of GaPd3F from OQMD via LeMat-Bulk. Energies are from GGA-PBE.

For the total energy, the calculation gives -4.246 eV per atom.

It has space group P4/mbm (No. 127), with a = 6.109 Å, b = 6.109 Å, c = 4.262 Å, α = 90.00°, β = 90.00° and γ = 90.00°. The distinct sites, in fractional coordinates, are Ga at (0.000, 0.500, 0.000), Pd at (0.000, 0.000, 0.000), Pd at (0.157, 0.343, 0.500) and F at (0.000, 0.000, 0.500).

---

Here is an optimized crystal structure of Ho3Fe8B from OQMD via LeMat-Bulk. Energies are from GGA-PBE.

For the total energy, the calculation gives -7.284 eV per atom. As for the total magnetization: 44.1 Bohr magnetons per cell.

It has space group R-3m (No. 166, hexagonal axes), with a = 5.0363 Å, b = 5.0363 Å, c = 23.4073 Å, α = 90.00°, β = 90.00° and γ = 120.00°. The distinct sites, in fractional coordinates, are Ho at (0.0000, 0.0000, 0.0000), Ho at (0.0000, 0.0000, 0.1424), Fe at (0.0000, 0.0000, 0.3321), Fe at (0.0060, 0.5030, 0.0853) and B at (0.0000, 0.0000, 0.5000).

---

Here is an optimized crystal structure of DyYB2Pt2N2 from OQMD via LeMat-Bulk. Energies are from GGA-PBE.

For the total energy, the calculation gives -7.795 eV per atom. As for the total magnetization: 0.0 Bohr magnetons per cell.

It has space group P4mm (No. 99), with a = 3.740 Å, b = 3.740 Å, c = 7.575 Å, α = 90.00°, β = 90.00° and γ = 90.00°. The distinct sites, in fractional coordinates, are Dy at (0.000, 0.000, 0.000), Y at (0.500, 0.500, 0.675), B at (0.000, 0.000, 0.509), B at (0.500, 0.500, 0.166), Pt at (0.000, 0.500, 0.337), N at (0.000, 0.000, 0.699) and N at (0.500, 0.500, 0.976).

---

Here is an optimized crystal structure of ThBr from OQMD via LeMat-Bulk. Energies are from GGA-PBE.

For the total energy, the calculation gives -5.284 eV per atom. As for the total magnetization: 0.0 Bohr magnetons per cell.

It has space group P-6m2 (No. 187), with a = 3.5948 Å, b = 3.5948 Å, c = 4.8911 Å, α = 90.00°, β = 90.00° and γ = 120.00°. The distinct sites, in fractional coordinates, are Th at (0.0000, 0.0000, 0.0000) and Br at (0.3333, 0.6667, 0.5000).

---

Here is an optimized crystal structure of DyEr2Pd3Pb3 from OQMD via LeMat-Bulk. Energies are from GGA-PBE.

For the total energy, the calculation gives -5.205 eV per atom. As for the total magnetization: 0.0 Bohr magnetons per cell.

It has space group Amm2 (No. 38), with a = 3.838 Å, b = 13.582 Å, c = 7.824 Å, α = 90.00°, β = 90.00° and γ = 90.00°. The distinct sites, in fractional coordinates, are Dy at (0.000, 0.000, 0.000), Er at (0.000, 0.200, 0.601), Pd at (0.000, 0.000, 0.402), Pd at (0.500, 0.168, 0.900), Pb at (0.500, 0.000, 0.668) and Pb at (0.500, 0.134, 0.267).

---

Here is an optimized crystal structure of SrSmAuSe2S from OQMD via LeMat-Bulk. Energies are from GGA-PBE.

For the total energy, the calculation gives -4.966 eV per atom. As for the total magnetization: 0.0 Bohr magnetons per cell.

It has space group Cmcm (No. 63), with a = 4.175 Å, b = 13.733 Å, c = 10.575 Å, α = 90.00°, β = 90.00° and γ = 90.00°. The distinct sites, in fractional coordinates, are Sr at (0.000, 0.243, 0.250), Sm at (0.000, 0.500, 0.000), Au at (0.000, 0.029, 0.750), Se at (0.000, 0.148, 0.557) and S at (0.000, 0.416, 0.750).

---

Here is an optimized crystal structure of LiAlPt from OQMD via LeMat-Bulk. Energies are from GGA-PBE.

For the total energy, the calculation gives -4.731 eV per atom. As for the total magnetization: 0.0 Bohr magnetons per cell. The relative energy among the computed polymorphs is 17.2 meV per atom.

It has space group P6_3/mmc (No. 194), with a = 4.3746 Å, b = 4.3746 Å, c = 5.2644 Å, α = 90.00°, β = 90.00° and γ = 120.00°. The distinct sites, in fractional coordinates, are Li at (0.0000, 0.0000, 0.0000), Al at (0.3333, 0.6667, 0.2500) and Pt at (0.3333, 0.6667, 0.7500).

---

Here is an optimized crystal structure of SrGaMo from OQMD via LeMat-Bulk. Energies are from GGA-PBE.

For the total energy, the calculation gives -3.761 eV per atom. As for the total magnetization: 13.2 Bohr magnetons per cell. The relative energy among the computed polymorphs is 624.0 meV per atom.

It has space group F-43m (No. 216), with a = 7.120 Å, b = 7.120 Å, c = 7.120 Å, α = 90.00°, β = 90.00° and γ = 90.00°. The distinct sites, in fractional coordinates, are Sr at (0.000, 0.000, 0.000), Ga at (0.250, 0.250, 0.750) and Mo at (0.250, 0.250, 0.250).

---

Here is an optimized crystal structure of Rb2TlCuBr6 from OQMD via LeMat-Bulk. Energies are from GGA-PBE.

For the total energy, the calculation gives -2.774 eV per atom. The relative energy among the computed polymorphs is 1.8 meV per atom.

It has space group P2_1/c (No. 14), with a = 7.660 Å, b = 7.722 Å, c = 13.387 Å, α = 90.00°, β = 124.48° and γ = 90.00°. The distinct sites, in fractional coordinates, are Rb at (0.241, 0.038, 0.249), Tl at (0.500, 0.000, 0.000), Cu at (0.000, 0.000, 0.500), Br at (0.179, 0.228, 0.976), Br at (0.243, 0.698, 0.976) and Br at (0.288, 0.503, 0.241).

---

Here is an optimized crystal structure of LaPrAg2Se2O2 from OQMD via LeMat-Bulk. Energies are from GGA-PBE.

For the total energy, the calculation gives -5.991 eV per atom. As for the total magnetization: 0.0 Bohr magnetons per cell.

It has space group P4mm (No. 99), with a = 4.113 Å, b = 4.113 Å, c = 9.338 Å, α = 90.00°, β = 90.00° and γ = 90.00°. The distinct sites, in fractional coordinates, are La at (0.000, 0.000, 0.000), Pr at (0.500, 0.500, 0.257), Ag at (0.000, 0.500, 0.628), Se at (0.000, 0.000, 0.428), Se at (0.500, 0.500, 0.827) and O at (0.000, 0.500, 0.129).

---

Here is an optimized crystal structure of Li2MgCdGa2Pt2 from OQMD via LeMat-Bulk. Energies are from GGA-PBE.

For the total energy, the calculation gives -3.653 eV per atom. As for the total magnetization: 0.0 Bohr magnetons per cell.

It has space group P-4m2 (No. 115), with a = 4.442 Å, b = 4.442 Å, c = 6.322 Å, α = 90.00°, β = 90.00° and γ = 90.00°. The distinct sites, in fractional coordinates, are Li at (0.000, 0.500, 0.250), Mg at (0.000, 0.000, 0.000), Cd at (0.500, 0.500, 0.500), Ga at (0.000, 0.000, 0.500), Ga at (0.500, 0.500, 0.000) and Pt at (0.000, 0.500, 0.765).

---

Here is an optimized crystal structure of PrY2Tl2Zn3Cd from OQMD via LeMat-Bulk. Energies are from GGA-PBE.

For the total energy, the calculation gives -3.329 eV per atom. As for the total magnetization: 0.0 Bohr magnetons per cell.

It has space group Amm2 (No. 38), with a = 4.588 Å, b = 12.817 Å, c = 7.266 Å, α = 90.00°, β = 90.00° and γ = 90.00°. The distinct sites, in fractional coordinates, are Pr at (0.000, 0.000, 0.000), Y at (0.000, 0.213, 0.636), Tl at (0.500, 0.170, 0.923), Zn at (0.500, 0.000, 0.658), Zn at (0.500, 0.115, 0.312) and Cd at (0.000, 0.000, 0.436).